Entry 1:
VASP calculation (PBE) on crystalline Zr2CrPt at its relaxed geometry.

Cell lengths 3.4090, 3.4090, 6.5759 Å; angles 90.00, 90.00, 90.00 degrees
Last column: nearest neighbours and their distance in Å.
Sites, in units of the cell vectors:
Pt (0.5000, 0.5000, 0.7439)  5 Zr 2.82-3.09, 4 Cr 2.84
Zr (0.5000, 0.5000, 0.2733)  4 Cr 2.89, 1 Pt 3.09, 4 Zr 3.14
Zr (0.0000, 0.0000, 0.9664)  4 Pt 2.82, 1 Cr 2.96, 4 Zr 3.14
Cr (0.0000, 0.0000, 0.5164)  4 Pt 2.84, 5 Zr 2.89-2.96

Total DFT energy (no corrections), eV for the cell shown: -33.67

=====

Entry 2:
VASP calculation (PBE) on crystalline Ag3Cl3F at its relaxed geometry.

Cell lengths 6.2181, 7.1575, 7.1575 Å; angles 95.30, 90.00, 90.00 degrees
Last column: nearest neighbours and their distance in Å.
Sites, in units of the cell vectors:
Cl (0.2500, 0.1204, 0.8796)  3 Ag 2.59-2.60
Cl (0.7500, 0.8796, 0.1204)  3 Ag 2.59-2.60
Cl (0.2500, 0.1390, 0.3914)  3 Ag 2.56-2.67
Cl (0.7500, 0.8610, 0.6086)  3 Ag 2.56-2.67
Cl (0.2500, 0.6086, 0.8611)  3 Ag 2.56-2.67
Cl (0.7500, 0.3914, 0.1389)  3 Ag 2.56-2.67
Ag (0.7500, 0.1454, 0.3914)  1 F 2.26
Ag (0.7500, 0.1249, 0.8751)  1 F 2.34, 3 Cl 2.56-2.60
Ag (0.2500, 0.3915, 0.1454)  1 F 2.26
Ag (0.2500, 0.8751, 0.1249)  1 F 2.34, 3 Cl 2.56-2.60
Ag (0.7500, 0.6085, 0.8546)  1 F 2.26
Ag (0.2500, 0.8546, 0.6086)  1 F 2.26
F (0.2500, 0.6542, 0.3458)  3 Ag 2.26-2.34
F (0.7500, 0.3458, 0.6542)  3 Ag 2.26-2.34

Energy relative to the elements, uncorrected, eV per formula unit: -3.95

=====

Entry 3:
VASP calculation (PBE) on crystalline ThB3Os at its relaxed geometry.

Cell lengths 4.6171, 5.0820, 6.1962 Å; angles 90.00, 111.87, 90.00 degrees
Last column: nearest neighbours and their distance in Å.
Sites, in units of the cell vectors:
B (0.8413, 0.2500, 0.6826)  2 B 1.69
B (0.2833, 0.5756, 0.5667)  2 B 1.69-1.77
B (0.2833, 0.9244, 0.5667)  2 B 1.69-1.77
B (0.7167, 0.0756, 0.4333)  2 B 1.69-1.77
B (0.7167, 0.4244, 0.4333)  2 B 1.69-1.77
B (0.1587, 0.7500, 0.3174)  2 B 1.69
Os (0.3868, 0.2500, 0.7735)  2 B 2.04
Os (0.6132, 0.7500, 0.2265)  2 B 2.04
Th (0.0943, 0.2500, 0.1887)  9 B 2.65-2.91
Th (0.9057, 0.7500, 0.8113)  9 B 2.65-2.91

Total DFT energy (no corrections), eV for the cell shown: -77.32

=====

Entry 4:
VASP calculation (PBE) on crystalline Tb2ScAg3 at its relaxed geometry.

Cell lengths 3.5545, 3.5545, 10.8847 Å; angles 90.00, 90.00, 90.00 degrees
Last column: nearest neighbours and their distance in Å.
Sites, in units of the cell vectors:
Sc (0.5000, 0.5000, 0.5000)  8 Ag 2.99
Tb (0.5000, 0.5000, 0.8264)  8 Ag 3.14-3.18
Tb (0.5000, 0.5000, 0.1736)  8 Ag 3.14-3.18
Ag (0.0000, 0.0000, 0.0000)  8 Tb 3.14
Ag (0.0000, 0.0000, 0.6480)  4 Sc 2.99, 4 Tb 3.18, 1 Ag 3.22
Ag (0.0000, 0.0000, 0.3520)  4 Sc 2.99, 4 Tb 3.18, 1 Ag 3.22

Total DFT energy (no corrections), eV for the cell shown: -25.91

=====

Entry 5:
VASP calculation (PBE) on crystalline Ac4LaPr4 at its relaxed geometry.

Cell lengths 5.4244, 8.6087, 8.6087 Å; angles 84.30, 71.64, 71.64 degrees
Last column: nearest neighbours and their distance in Å.
Sites, in units of the cell vectors:
Pr (0.0001, 0.6611, 0.3387)  5 Pr 3.73-3.78, 6 Ac 3.85-3.88, 1 La 3.91
Pr (0.6612, 0.3387, 0.3389)  5 Pr 3.73-3.78, 6 Ac 3.85-3.88, 1 La 3.91
Pr (0.9999, 0.3389, 0.6613)  5 Pr 3.73-3.78, 6 Ac 3.85-3.88, 1 La 3.91
Pr (0.3388, 0.6613, 0.6611)  5 Pr 3.73-3.78, 6 Ac 3.85-3.88, 1 La 3.91
Ac (0.6664, 0.6670, 0.0002)  2 La 3.84, 4 Ac 3.85, 6 Pr 3.85-3.88
Ac (0.3336, 0.3330, 0.9998)  2 La 3.84, 4 Ac 3.85, 6 Pr 3.85-3.88
Ac (0.3334, 0.0002, 0.3330)  2 La 3.84, 4 Ac 3.85, 6 Pr 3.85-3.88
Ac (0.6666, 0.9998, 0.6670)  2 La 3.84, 4 Ac 3.85, 6 Pr 3.85-3.88
La (0.0000, 0.0000, 0.0000)  8 Ac 3.84, 4 Pr 3.91

Total DFT energy (no corrections), eV for the cell shown: -40.25

=====

Entry 6:
VASP calculation (PBE) on crystalline CrCo2Au at its relaxed geometry.

Cell lengths 4.1713, 4.1713, 4.1713 Å; angles 60.00, 60.00, 60.00 degrees
Last column: nearest neighbours and their distance in Å.
Sites, in units of the cell vectors:
Cr (0.0000, 0.0000, 0.0000)  8 Co 2.55
Au (0.5000, 0.5000, 0.5000)  8 Co 2.55
Co (0.7500, 0.7500, 0.7500)  4 Cr 2.55, 4 Au 2.55
Co (0.2500, 0.2500, 0.2500)  4 Cr 2.55, 4 Au 2.55

Total DFT energy (no corrections), eV for the cell shown: -25.62

=====

Entry 7:
VASP calculation (PBE) on crystalline EuDyYLu at its relaxed geometry.

Cell lengths 5.7179, 5.7179, 5.7179 Å; angles 60.00, 60.00, 60.00 degrees
Last column: nearest neighbours and their distance in Å.
Sites, in units of the cell vectors:
Y (0.0000, 0.0000, 0.0000)  4 Eu 3.50, 4 Lu 3.50
Eu (0.2500, 0.2500, 0.2500)  4 Dy 3.50, 4 Y 3.50
Lu (0.7500, 0.7500, 0.7500)  4 Dy 3.50, 4 Y 3.50
Dy (0.5000, 0.5000, 0.5000)  4 Lu 3.50, 4 Eu 3.50

Total DFT energy (no corrections), eV for the cell shown: -25.21

=====

Entry 8:
VASP calculation (PBE) on crystalline ErVInCl6 at its relaxed geometry.

Cell lengths 6.6068, 6.6068, 14.3947 Å; angles 90.00, 90.00, 120.00 degrees
Last column: nearest neighbours and their distance in Å.
Sites, in units of the cell vectors:
Cl (0.3579, 0.9844, 0.1483)  1 V 2.50, 1 Er 2.63
Cl (0.6421, 0.6265, 0.6483)  1 V 2.50, 1 Er 2.63
Cl (0.3579, 0.3735, 0.3517)  1 V 2.50, 1 Er 2.63
Cl (0.6265, 0.9844, 0.3517)  1 V 2.50, 1 Er 2.63
Cl (0.0156, 0.3735, 0.1483)  1 V 2.50, 1 Er 2.63
Cl (0.9844, 0.6265, 0.8517)  1 V 2.50, 1 Er 2.63
Cl (0.9844, 0.3579, 0.6483)  1 V 2.50, 1 Er 2.63
Cl (0.0156, 0.6421, 0.3517)  1 V 2.50, 1 Er 2.63
Cl (0.6265, 0.6421, 0.1483)  1 V 2.50, 1 Er 2.63
Cl (0.3735, 0.3579, 0.8517)  1 V 2.50, 1 Er 2.63
Cl (0.6421, 0.0156, 0.8517)  1 V 2.50, 1 Er 2.63
Cl (0.3735, 0.0156, 0.6483)  1 V 2.50, 1 Er 2.63
V (0.3333, 0.6667, 0.2500)  6 Cl 2.50
V (0.6667, 0.3333, 0.7500)  6 Cl 2.50
Er (0.6667, 0.3333, 0.2500)  6 Cl 2.63
Er (0.3333, 0.6667, 0.7500)  6 Cl 2.63
In (0.0000, 0.0000, 0.5000)  6 Cl 3.23
In (0.0000, 0.0000, 0.0000)  6 Cl 3.23

Energy relative to the elements, uncorrected, eV per formula unit: -14.28

=====

Entry 9:
VASP calculation (PBE) on crystalline CaNiPt2 at its relaxed geometry.

Cell lengths 4.9728, 4.9728, 4.9728 Å; angles 132.05, 131.63, 70.48 degrees
Last column: nearest neighbours and their distance in Å.
Sites, in units of the cell vectors:
Pt (0.4989, 0.4989, 0.0000)  4 Ni 2.86-2.88, 4 Pt 2.87, 4 Ca 2.87
Pt (0.0011, 0.0011, 0.0000)  4 Ni 2.86-2.88, 4 Pt 2.87, 4 Ca 2.87
Ni (0.2500, 0.7500, 0.5000)  8 Pt 2.86-2.88, 4 Ca 2.87
Ca (0.7500, 0.2500, 0.5000)  4 Ni 2.87, 8 Pt 2.87

Total DFT energy (no corrections), eV for the cell shown: -21.12

=====

Entry 10:
VASP calculation (PBE) on crystalline Mg3AgHg at its relaxed geometry.

Cell lengths 5.1483, 5.1483, 5.1483 Å; angles 90.00, 90.00, 90.00 degrees
Last column: nearest neighbours and their distance in Å.
Sites, in units of the cell vectors:
Mg (0.5000, 0.0000, 0.0000)  2 Ag 2.57
Mg (0.0000, 0.0000, 0.5000)  2 Ag 2.57
Mg (0.0000, 0.5000, 0.0000)  2 Ag 2.57
Hg (0.5000, 0.5000, 0.5000)  12 Mg 3.64
Ag (0.0000, 0.0000, 0.0000)  6 Mg 2.57

Total DFT energy (no corrections), eV for the cell shown: -7.45

=====

Entry 11:
VASP calculation (PBE) on crystalline Rb3Np3OsS8 at its relaxed geometry.

Cell lengths 7.6997, 7.6985, 9.1413 Å; angles 114.91, 90.00, 120.00 degrees
Last column: nearest neighbours and their distance in Å.
Sites, in units of the cell vectors:
Rb (0.0000, 0.0000, 0.0000)  6 S 3.29-3.33
Rb (0.5000, 0.5000, 0.0000)  6 S 3.29-3.33
Rb (0.0000, 0.5000, 0.0000)  6 S 3.29-3.33
S (0.7323, 0.4647, 0.6968)  3 Np 2.72
S (0.7865, 0.5730, 0.3200)  1 Os 2.50, 2 Np 2.73
S (0.7532, 0.9666, 0.6800)  1 Os 2.50, 2 Np 2.73
S (0.2677, 0.5353, 0.3032)  3 Np 2.72
S (0.7865, 0.0334, 0.3200)  1 Os 2.50, 2 Np 2.73
S (0.2135, 0.4270, 0.6800)  1 Os 2.50, 2 Np 2.73
S (0.2468, 0.0334, 0.3200)  1 Os 2.50, 2 Np 2.73
S (0.2135, 0.9666, 0.6800)  1 Os 2.50, 2 Np 2.73
Np (0.0000, 0.5000, 0.5000)  6 S 2.72-2.73
Np (0.5000, 0.0000, 0.5000)  6 S 2.72-2.73
Np (0.5000, 0.5000, 0.5000)  6 S 2.72-2.73
Os (0.0000, 0.0000, 0.5000)  6 S 2.50

Energy relative to the elements, uncorrected, eV per formula unit: -16.60

=====

The records above yield total magnetic moment values of 1.031, 0.043, 0.000, 0.000, 0.000, 0.692, 2.054, 0.333, 0.230, 0.000, 0.667 μB per atom, respectively.